ZnCoNO | GGA+U | optimized geometry

* calculated volume: 184 Å³/cell
* spin magnetization: 0.4816 μB/atom
* energy above the most stable polymorph in this dataset: 0.108 eV/atom

Structure (CIF):
```
data_ZnCoNO
_space_group_name_H-M_alt 'C m m e'
_space_group_IT_number 67
_space_group_name_Hall '-C 2a 2'
_cell_length_a 5.289
_cell_length_b 5.332
_cell_length_c 6.537
_cell_angle_alpha 90.00
_cell_angle_beta 90.00
_cell_angle_gamma 90.00
loop_
_atom_site_label
_atom_site_type_symbol
_atom_site_fract_x
_atom_site_fract_y
_atom_site_fract_z
_atom_site_occupancy
Zn1 Zn 0.000 0.250 0.104 1
Co1 Co 0.250 0.000 0.500 1
N1 N 0.000 0.250 0.430 1
O1 O 0.250 0.000 0.000 1
```